Here is an optimized crystal structure of Cu2AgSe2 from Alexandria via LeMat-Bulk. Energies are from PBE.

Output
Space group: No. 139
Density in Mg/m³: 6.96
Uncorrected formation energy in eV/atom: -0.004
Excess energy over the best structure of this formula in the dataset in meV per atom: 36.4

Unit cell a=3.693 b=3.693 c=7.350 alpha=75.45 beta=75.45 gamma=90.00
Sites, in units of the cell vectors:
Ag: 0.000 0.000 0.000
Cu: 0.250 0.750 0.500
Cu: 0.750 0.250 0.500
Se: 0.629 0.629 0.742
Se: 0.371 0.371 0.258

Here is an optimized crystal structure of Ac2LaPr4Nd2 from Alexandria via LeMat-Bulk. Energies are from PBE.

Output
Space group: No. 12
Energy in eV/atom: -4.621
Density in Mg/m³: 6.97

Unit cell a=3.816 b=10.047 c=10.139 alpha=115.14 beta=90.00 gamma=100.95
Sites, in units of the cell vectors:
Ac: 0.147 0.295 0.667
Ac: 0.853 0.705 0.333
Nd: 0.334 0.667 0.995
Nd: 0.666 0.333 0.005
Pr: 0.183 0.367 0.330
Pr: 0.817 0.633 0.670
Pr: 0.482 0.965 0.675
Pr: 0.518 0.035 0.325
La: 0.000 0.000 0.000

Here is an optimized crystal structure of CaHgBr from Alexandria via LeMat-Bulk. Energies are from PBE.

Output
Space group: No. 187
Density in Mg/m³: 5.50
Uncorrected formation energy in eV/atom: -0.855
Excess energy over the best structure of this formula in the dataset in meV per atom: 278.5

Unit cell a=5.052 b=5.052 c=4.379 alpha=90.00 beta=90.00 gamma=120.00
Sites, in units of the cell vectors:
Ca: 0.667 0.333 0.166
Hg: 0.333 0.667 0.667
Br: 0.000 0.000 0.167

Here is an optimized crystal structure of RbZrIn2Cl8 from Alexandria via LeMat-Bulk. Energies are from PBE.

Output
Space group: No. 2
Density in Mg/m³: 2.81
Uncorrected formation energy in eV/atom: -1.400

Unit cell a=6.906 b=6.569 c=8.977 alpha=89.61 beta=89.82 gamma=88.20
Sites, in units of the cell vectors:
Cl: 0.856 0.229 0.802
Cl: 0.854 0.227 0.197
Cl: 0.373 0.291 0.500
Cl: 0.146 0.773 0.803
Cl: 0.627 0.709 0.500
Cl: 0.294 0.210 0.000
Cl: 0.706 0.790 0.000
Cl: 0.144 0.771 0.198
In: 0.502 0.504 0.255
In: 0.498 0.496 0.745
Rb: 0.000 0.000 0.500
Zr: 0.000 0.000 0.000

Here is an optimized crystal structure of BaH3Rh from Alexandria via LeMat-Bulk. Energies are from PBE.

Output
Space group: No. 227
Energy in eV/atom: -4.026
Density in Mg/m³: 6.25

Unit cell a=7.149 b=7.149 c=7.149 alpha=60.00 beta=60.00 gamma=60.00
Sites, in units of the cell vectors:
H: 0.831 0.169 0.831
H: 0.081 0.419 0.081
H: 0.081 0.081 0.419
H: 0.169 0.169 0.831
H: 0.169 0.831 0.831
H: 0.831 0.169 0.169
H: 0.419 0.419 0.081
H: 0.419 0.081 0.419
H: 0.169 0.831 0.169
H: 0.419 0.081 0.081
H: 0.831 0.831 0.169
H: 0.081 0.419 0.419
Rh: 0.625 0.125 0.125
Rh: 0.125 0.625 0.125
Rh: 0.125 0.125 0.125
Rh: 0.125 0.125 0.625
Ba: 0.625 0.125 0.625
Ba: 0.625 0.625 0.625
Ba: 0.125 0.625 0.625
Ba: 0.625 0.625 0.125

Here is an optimized crystal structure of CrHgP from Alexandria via LeMat-Bulk. Energies are from PBE.

Output
Space group: No. 216
Density in Mg/m³: 8.00
Excess energy over the best structure of this formula in the dataset in meV per atom: 421.1

Unit cell a=4.367 b=4.367 c=4.367 alpha=60.00 beta=60.00 gamma=60.00
Last column: magnetic moment on the atom in μB.
Sites, in units of the cell vectors:
P: 0.500 0.500 0.500  -0.16
Hg: 0.000 0.000 0.000  0.04
Cr: 0.250 0.250 0.250  3.32

Here is an optimized crystal structure of Na4Nb3TcN8 from Alexandria via LeMat-Bulk. Energies are from PBE.

Output
Space group: No. 166
Density in Mg/m³: 5.01
Uncorrected formation energy in eV/atom: -0.504

Unit cell a=6.233 b=6.756 c=6.233 alpha=117.47 beta=120.00 gamma=90.00
Last column: magnetic moment on the atom in μB.
Sites, in units of the cell vectors:
Nb: 0.500 0.500 0.000  0.04
Nb: 0.000 0.500 0.500  0.04
Nb: 0.500 0.500 0.500  0.04
N: 0.231 0.697 0.462  0.03
N: 0.231 0.697 0.966  0.03
N: 0.265 0.303 0.034  0.03
N: 0.769 0.303 0.538  0.03
N: 0.735 0.697 0.966  0.03
N: 0.769 0.303 0.034  0.03
N: 0.268 0.303 0.535  0.01
N: 0.732 0.697 0.465  0.01
Tc: 0.000 0.500 0.000  1.00
Na: 0.000 0.000 0.500  0.00
Na: 0.500 0.000 0.500  0.00
Na: 0.500 0.000 0.000  0.00
Na: 0.000 0.000 0.000  0.00

Here is an optimized crystal structure of Dy2ZnCl from Alexandria via LeMat-Bulk. Energies are from PBE.

Output
Space group: No. 160
Density in Mg/m³: 7.46
Uncorrected formation energy in eV/atom: -0.755
Excess energy over the best structure of this formula in the dataset in meV per atom: 0.0

Unit cell a=3.569 b=3.569 c=8.838 alpha=78.35 beta=78.35 gamma=60.00
Sites, in units of the cell vectors:
Zn: 0.667 0.667 0.999
Cl: 0.499 0.499 0.502
Dy: 0.083 0.083 0.751
Dy: 0.250 0.250 0.249

Here is an optimized crystal structure of CoNi4Ir from Alexandria via LeMat-Bulk. Energies are from PBE.

Output
Space group: No. 216
Density in Mg/m³: 11.44
Excess energy over the best structure of this formula in the dataset in meV per atom: 139.0

Unit cell a=4.638 b=4.638 c=4.638 alpha=60.00 beta=60.00 gamma=60.00
Last column: magnetic moment on the atom in μB.
Sites, in units of the cell vectors:
Ni: 0.625 0.125 0.625  0.69
Ni: 0.625 0.625 0.625  0.69
Ni: 0.125 0.625 0.625  0.69
Ni: 0.625 0.625 0.125  0.69
Ir: 0.000 0.000 0.000  0.86
Co: 0.250 0.250 0.250  1.92

Here is an optimized crystal structure of CrMo2Pb from Alexandria via LeMat-Bulk. Energies are from PBE.

Output
Space group: No. 35
Energy in eV/atom: -8.137
Density in Mg/m³: 10.60

Unit cell a=2.940 b=2.940 c=8.783 alpha=90.00 beta=90.00 gamma=111.43
Last column: magnetic moment on the atom in μB.
Sites, in units of the cell vectors:
Mo: 0.000 0.000 0.992  -0.30
Mo: 0.500 0.500 0.225  0.16
Pb: 0.000 0.000 0.507  -0.03
Cr: 0.500 0.500 0.776  1.94

Here is an optimized crystal structure of Tl5Cd2In4 from Alexandria via LeMat-Bulk. Energies are from PBE.

Output
Space group: No. 12
Density in Mg/m³: 9.01
Excess energy over the best structure of this formula in the dataset in meV per atom: 0.0

Unit cell a=8.726 b=8.726 c=10.684 alpha=85.01 beta=85.01 gamma=22.83
Sites, in units of the cell vectors:
In: 0.043 0.043 0.691
In: 0.596 0.596 0.437
In: 0.404 0.404 0.563
In: 0.957 0.957 0.309
Cd: 0.729 0.729 0.618
Cd: 0.271 0.271 0.382
Tl: 0.500 0.500 0.000
Tl: 0.181 0.181 0.876
Tl: 0.819 0.819 0.124
Tl: 0.140 0.140 0.173
Tl: 0.860 0.860 0.827

Here is an optimized crystal structure of KTc2Ru from Alexandria via LeMat-Bulk. Energies are from PBE.

Output
Space group: No. 44
Density in Mg/m³: 7.59
Excess energy over the best structure of this formula in the dataset in meV per atom: 435.5

Unit cell a=5.652 b=5.652 c=5.652 alpha=149.91 beta=124.87 gamma=64.09
Sites, in units of the cell vectors:
Ru: 0.212 0.712 0.500
Tc: 0.792 0.292 0.500
Tc: 0.994 0.994 0.000
K: 0.502 0.502 0.000

Here is an optimized crystal structure of LaNdP2 from Alexandria via LeMat-Bulk. Energies are from PBE.

Output
Space group: No. 160
Density in Mg/m³: 5.32
Excess energy over the best structure of this formula in the dataset in meV per atom: 148.3

Unit cell a=4.152 b=4.152 c=7.600 alpha=74.15 beta=74.15 gamma=60.00
Sites, in units of the cell vectors:
Nd: 0.669 0.669 0.994
P: 0.252 0.252 0.243
P: 0.081 0.081 0.756
La: 0.498 0.498 0.507

Here is an optimized crystal structure of ThNi2Ge from Alexandria via LeMat-Bulk. Energies are from PBE.

Output
Space group: No. 166
Density in Mg/m³: 10.06
Excess energy over the best structure of this formula in the dataset in meV per atom: 0.0

Unit cell a=4.096 b=4.096 c=5.349 alpha=67.49 beta=67.49 gamma=60.00
Sites, in units of the cell vectors:
Ni: 0.208 0.208 0.377
Ni: 0.792 0.792 0.623
Th: 0.000 0.000 0.000
Ge: 0.500 0.500 0.500

Here is an optimized crystal structure of BaTlAg2 from Alexandria via LeMat-Bulk. Energies are from PBE.

Output
Space group: No. 123
Density in Mg/m³: 7.80
Excess energy over the best structure of this formula in the dataset in meV per atom: 160.0

Unit cell a=5.216 b=5.216 c=4.362 alpha=90.03 beta=90.03 gamma=90.01
Sites, in units of the cell vectors:
Ag: 0.500 0.500 0.000
Ag: 0.000 0.000 0.000
Ba: 0.500 0.000 0.500
Tl: 0.000 0.500 0.500

Here is an optimized crystal structure of Pm2MgGe4Rh3 from Alexandria via LeMat-Bulk. Energies are from PBE.

Output
Space group: No. 115
Energy in eV/atom: -5.929
Density in Mg/m³: 7.95

Unit cell a=4.267 b=4.267 c=10.484 alpha=90.00 beta=90.00 gamma=90.00
Sites, in units of the cell vectors:
Rh: 0.000 0.000 0.500
Rh: 0.500 0.000 0.880
Rh: 0.000 0.500 0.120
Ge: 0.000 0.500 0.353
Ge: 0.000 0.000 0.000
Ge: 0.500 0.000 0.647
Ge: 0.500 0.500 0.000
Mg: 0.500 0.500 0.500
Pm: 0.500 0.000 0.236
Pm: 0.000 0.500 0.764

Here is an optimized crystal structure of SrMgTaSe2 from Alexandria via LeMat-Bulk. Energies are from PBE.

Output
Space group: No. 123
Density in Mg/m³: 5.32
Uncorrected formation energy in eV/atom: 0.778

Unit cell a=5.013 b=5.597 c=5.013 alpha=90.00 beta=90.00 gamma=90.00
Last column: magnetic moment on the atom in μB.
Sites, in units of the cell vectors:
Se: 0.500 0.000 0.000  -0.09
Se: 0.000 0.000 0.500  -0.10
Sr: 0.000 0.500 0.000  0.06
Mg: 0.000 0.000 0.000  0.00
Ta: 0.500 0.500 0.500  1.88

Here is an optimized crystal structure of ErNpU2S4 from Alexandria via LeMat-Bulk. Energies are from PBE.

Output
Space group: No. 10
Density in Mg/m³: 10.20
Uncorrected formation energy in eV/atom: -1.516

Unit cell a=3.834 b=6.602 c=6.858 alpha=108.89 beta=90.00 gamma=90.00
Last column: magnetic moment on the atom in μB.
Sites, in units of the cell vectors:
S: 0.000 0.252 0.753  -0.05
S: 0.000 0.748 0.247  -0.05
S: 0.500 0.249 0.247  -0.07
S: 0.500 0.751 0.753  -0.07
U: 0.000 0.500 0.500  2.08
U: 0.500 0.000 0.500  2.27
Er: 0.500 0.500 0.000  0.01
Np: 0.000 0.000 0.000  3.76

Here is an optimized crystal structure of Rb2Re2B from Alexandria via LeMat-Bulk. Energies are from PBE.

Output
Space group: No. 127
Density in Mg/m³: 8.76
Excess energy over the best structure of this formula in the dataset in meV per atom: 0.0

Unit cell a=5.814 b=5.814 c=6.214 alpha=90.00 beta=90.00 gamma=90.00
Sites, in units of the cell vectors:
Re: 0.846 0.654 0.000
Re: 0.654 0.154 0.000
Re: 0.154 0.346 0.000
Re: 0.346 0.846 0.000
B: 0.000 0.000 0.000
B: 0.500 0.500 0.000
Rb: 0.318 0.182 0.500
Rb: 0.682 0.818 0.500
Rb: 0.182 0.682 0.500
Rb: 0.818 0.318 0.500

Here is an optimized crystal structure of BaScP2 from Alexandria via LeMat-Bulk. Energies are from PBE.

Output
Space group: No. 225
Density in Mg/m³: 4.35
Excess energy over the best structure of this formula in the dataset in meV per atom: 443.0

Unit cell a=5.090 b=5.090 c=5.090 alpha=60.00 beta=60.00 gamma=60.00
Sites, in units of the cell vectors:
P: 0.750 0.750 0.750
P: 0.250 0.250 0.250
Ba: 0.500 0.500 0.500
Sc: 0.000 0.000 0.000